(1)
Below is MgSb2Mo after structural relaxation, with properties calculated at the PBE-GGA level.

Summary:
* mass density: 6.5 g/cm3
* total DFT energy (no corrections): -5.065 eV/atom
* DOS(E_F): 3.323 states/eV/f.u.

abc: 3.4190 3.8718 13.9410
angles: 90.00 90.00 90.00
Closest atoms and distances in Å follow each position.
Space group Imm2 (No. 44)
Asymmetric unit:
Mg (0.0000, 0.0000, 0.0000) (multiplicity 2)  6 Sb 2.97-3.02
Sb (0.0000, 0.0000, 0.6128) (multiplicity 2)  2 Mo 2.72, 4 Mg 3.02
Sb (0.0000, 0.5000, 0.8387) (multiplicity 2)  4 Mo 2.78, 2 Mg 2.97
Mo (0.0000, 0.5000, 0.2646) (multiplicity 2)  6 Sb 2.72-2.78

---

(2)
Below is Mg2SbMo after structural relaxation, with properties calculated at the PBE-GGA level.

Summary:
* mass density: 5.4 g/cm3
* total DFT energy (no corrections): -4.306 eV/atom
* DOS(E_F): 2.611 states/eV/f.u.

abc: 3.8741 4.5735 9.2424
angles: 90.00 90.00 90.00
Closest atoms and distances in Å follow each position.
Space group Cmmm (No. 65)
Asymmetric unit:
Mg (0.0000, 0.0000, 0.2250) (multiplicity 4)  4 Mo 2.84-3.09, 4 Mg 3.00
Sb (0.0000, 0.5000, 0.5000) (multiplicity 2)  4 Sb 3.00, 4 Mg 3.20
Mo (0.0000, 0.5000, 0.0000) (multiplicity 2)  8 Mg 2.84-3.09, 4 Mo 3.00

---

(3)
Below is Mg14SbMo after structural relaxation, with properties calculated at the PBE-GGA level.

Summary:
* energy relative to the lowest polymorph listed for this composition: 16 meV/atom
* mass density: 2.7 g/cm3
* total DFT energy (no corrections): -2.261 eV/atom
* DOS(E_F): 7.328 states/eV/f.u.

abc: 10.2810 6.2290 10.9044
angles: 90.00 90.00 90.00
Closest atoms and distances in Å follow each position.
Space group Amm2 (No. 38)
Asymmetric unit:
Mg (0.0000, 0.0000, 0.0000) (multiplicity 2)  12 Mg 3.11-3.19
Mg (0.0000, 0.0000, 0.4989) (multiplicity 2)  12 Mg 3.11-3.23
Mg (0.0000, 0.2480, 0.2506) (multiplicity 4)  12 Mg 3.09-3.22
Mg (0.2446, 0.0000, 0.6674) (multiplicity 4)  11 Mg 3.10-3.18, 1 Sb 3.16
Mg (0.2574, 0.0000, 0.1610) (multiplicity 4)  11 Mg 3.06-3.22, 1 Mo 3.06
Mg (0.2581, 0.2428, 0.9171) (multiplicity 8)  10 Mg 3.02-3.23, 1 Mo 3.04, 1 Sb 3.11
Mg (0.5000, 0.2501, 0.2492) (multiplicity 4)  2 Sb 3.08-3.20, 8 Mg 3.09-3.18, 2 Mo 3.13-3.15
Sb (0.5000, 0.0000, 0.5057) (multiplicity 2)  10 Mg 3.08-3.20, 2 Mo 3.12
Mo (0.5000, 0.0000, 0.9983) (multiplicity 2)  10 Mg 3.04-3.15, 2 Sb 3.12

---

(4)
Below is Mg2SbMo after structural relaxation, with properties calculated at the PBE-GGA level.

Summary:
* mass density: 5.2 g/cm3
* total DFT energy (no corrections): -4.256 eV/atom
* DOS(E_F): 2.610 states/eV/f.u.

abc: 3.6341 4.9448 9.4640
angles: 90.00 90.00 90.00
Closest atoms and distances in Å follow each position.
Space group Cmm2 (No. 35)
Asymmetric unit:
Mg (0.0000, 0.0000, 0.0000) (multiplicity 2)  6 Mg 3.07-3.09, 2 Sb 3.31
Mg (0.0000, 0.5000, 0.2644) (multiplicity 2)  2 Mo 2.82, 6 Mg 3.07-3.09
Sb (0.0000, 0.5000, 0.7074) (multiplicity 2)  2 Mo 2.73
Mo (0.0000, 0.0000, 0.4921) (multiplicity 2)  2 Sb 2.73, 2 Mg 2.82

---

(5)
Below is MgSbMo2 after structural relaxation, with properties calculated at the PBE-GGA level.

Summary:
* energy relative to the lowest polymorph listed for this composition: 284 meV/atom
* mass density: 7.5 g/cm3
* total DFT energy (no corrections): -6.425 eV/atom
* DOS(E_F): 3.512 states/eV/f.u.

abc: 3.4977 3.4977 6.0772
angles: 90.00 90.00 90.00
Closest atoms and distances in Å follow each position.
Space group P4/mmm (No. 123)
Asymmetric unit:
Mg (0.0000, 0.0000, 0.0000) (multiplicity 1)  8 Mo 3.03, 2 Sb 3.04
Sb (0.0000, 0.0000, 0.5000) (multiplicity 1)  8 Mo 2.79, 2 Mg 3.04
Mo (0.5000, 0.5000, 0.2877) (multiplicity 2)  1 Mo 2.58, 4 Sb 2.79

---

(6)
Below is MgSbMo2 after structural relaxation, with properties calculated at the PBE-GGA level.

Summary:
* energy relative to the lowest polymorph listed for this composition: 335 meV/atom
* mass density: 8.0 g/cm3
* total DFT energy (no corrections): -6.374 eV/atom
* DOS(E_F): 5.599 states/eV/f.u.

abc: 6.5353 6.5353 6.5353
angles: 90.00 90.00 90.00
Closest atoms and distances in Å follow each position.
Space group Fm-3m (No. 225)
Asymmetric unit:
Mg (0.0000, 0.0000, 0.0000) (multiplicity 4)  8 Mo 2.83
Sb (0.0000, 0.0000, 0.5000) (multiplicity 4)  8 Mo 2.83
Mo (0.2500, 0.2500, 0.2500) (multiplicity 8)  4 Sb 2.83, 4 Mg 2.83

---

(7)
Below is MgSb2Mo after structural relaxation, with properties calculated at the PBE-GGA level.

Summary:
* mass density: 4.6 g/cm3
* total DFT energy (no corrections): -4.724 eV/atom
* DOS(E_F): 1.581 states/eV/f.u.

abc: 6.3922 6.3922 12.8042
angles: 90.00 90.00 90.00
Closest atoms and distances in Å follow each position.
Space group I-42d (No. 122)
Asymmetric unit:
Mg (0.0000, 0.0000, 0.0000) (multiplicity 4)  4 Sb 2.88
Sb (0.2204, 0.2500, 0.6250) (multiplicity 8)  2 Mo 2.66, 2 Mg 2.88
Mo (0.0000, 0.0000, 0.5000) (multiplicity 4)  4 Sb 2.66

---

(8)
Below is MgSbMo2 after structural relaxation, with properties calculated at the PBE-GGA level.

Summary:
* energy relative to the lowest polymorph listed for this composition: 214 meV/atom
* mass density: 7.7 g/cm3
* total DFT energy (no corrections): -6.495 eV/atom
* DOS(E_F): 3.622 states/eV/f.u.

abc: 2.9206 4.6743 5.3956
angles: 90.00 95.45 90.00
Closest atoms and distances in Å follow each position.
Space group P2/m (No. 10)
Asymmetric unit:
Mg (0.0000, 0.0000, 0.0000) (multiplicity 1)  4 Mo 2.85, 2 Mg 2.92, 4 Sb 2.94-3.19
Sb (0.5000, 0.0000, 0.5000) (multiplicity 1)  4 Mo 2.83, 2 Sb 2.92, 2 Mg 2.94
Mo (0.3365, 0.5000, 0.7742) (multiplicity 2)  1 Mo 2.53, 2 Sb 2.83

---

Q: Which formula does entry 5 have?
A: MgSbMo2

---

Q: Number 5 is which compound?
A: MgSbMo2

---

Q: Among the records above, which one has the highest DOS(E_F)?
A: Mg14SbMo

---

Q: The lowest DOS(E_F) belongs to which entry?
A: number 7